# 1
La3InMo: relaxed, GGA-PBEsol.

```
La3InMo
1.0
5.370 0.000 0.000
0.000 5.370 0.000
0.000 0.000 5.370
La In Mo
3 1 1
Cartesian
0.000 0.000 2.685
0.000 2.685 0.000
2.685 0.000 0.000
2.685 2.685 2.685
0.000 0.000 0.000
```

Summary:
**Formation energy from the elements**: 0.5 eV per formula unit
**DFT total energy**: -6.05 eV per atom
**V**: 154.9 Å³/cell

***

# 2
La4InMo: relaxed, GGA-PBEsol.

```
La4InMo
1.0
0.000 4.372 4.372
4.372 0.000 4.372
4.372 4.372 0.000
La In Mo
4 1 1
Cartesian
1.084 1.084 1.084
3.288 3.288 1.084
3.288 1.084 3.288
1.084 3.288 3.288
4.372 4.372 4.372
6.557 6.557 6.557
```

Summary:
**Formation energy from the elements**: 4.3 eV per formula unit
**DFT total energy**: -5.31 eV per atom
**V**: 167.1 Å³/cell

***

# 3
LaIn2Mo: relaxed, GGA-PBEsol.

```
LaIn2Mo
1.0
3.441 0.000 0.000
0.000 3.701 0.000
0.000 0.000 7.429
La In Mo
1 2 1
Cartesian
0.000 0.000 0.000
0.000 0.000 3.172
1.721 1.851 4.967
1.721 1.851 1.932
```

Summary:
**Formation energy from the elements**: 0.9 eV per formula unit
**DFT total energy**: -5.55 eV per atom
**V**: 94.6 Å³/cell

***

# 4
LaInMo: relaxed, GGA-PBEsol.

```
LaInMo
1.0
7.078 0.000 0.000
0.000 7.078 0.000
0.000 0.000 7.078
La In Mo
4 4 4
Cartesian
0.000 0.000 0.000
0.000 3.539 3.539
3.539 0.000 3.539
3.539 3.539 0.000
1.770 1.770 1.770
1.770 5.309 5.309
5.309 1.770 5.309
5.309 5.309 1.770
1.770 1.770 5.309
1.770 5.309 1.770
5.309 1.770 1.770
5.309 5.309 5.309
```

Summary:
**Formation energy from the elements**: 3.8 eV per formula unit
**DFT total energy**: -5.42 eV per atom
**V**: 354.6 Å³/cell

***

# 5
LaScIn2Mo: relaxed, GGA-PBEsol.

```
LaScIn2Mo
1.0
5.366 0.000 0.000
0.000 5.366 0.000
0.000 0.000 5.170
La Sc In Mo
1 1 2 1
Cartesian
0.000 0.000 0.000
0.000 0.000 2.585
0.000 2.683 2.585
2.683 0.000 2.585
2.683 2.683 0.000
```

Summary:
**Formation energy from the elements**: 6.5 eV per formula unit
**DFT total energy**: -4.65 eV per atom
**V**: 148.9 Å³/cell

***

# 6
LaScIn2Mo: relaxed, GGA-PBEsol.

```
LaScIn2Mo
1.0
5.686 0.000 0.000
0.000 5.686 0.000
0.000 0.000 4.702
La Sc In Mo
1 1 2 1
Cartesian
0.000 0.000 0.000
2.843 2.843 2.351
0.000 2.843 0.000
2.843 0.000 0.000
0.000 0.000 2.351
```

Summary:
**Formation energy from the elements**: 6.6 eV per formula unit
**DFT total energy**: -4.62 eV per atom
**V**: 152.1 Å³/cell

***

# 7
La3InN: relaxed, GGA-PBEsol.

```
La3InN
1.0
5.064 0.000 0.000
0.000 5.064 0.000
0.000 0.000 5.064
La In N
3 1 1
Cartesian
0.000 0.000 2.532
0.000 2.532 0.000
2.532 0.000 0.000
2.532 2.532 2.532
0.000 0.000 0.000
```

Summary:
**DFT total energy**: -6.45 eV per atom
**V**: 129.8 Å³/cell

***

# 8
La2InRhN: relaxed, GGA-PBEsol.

```
La2InRhN
1.0
5.308 0.000 0.000
0.000 5.308 0.000
0.000 0.000 4.910
La In Rh N
2 1 1 1
Cartesian
0.000 2.654 0.000
2.654 0.000 0.000
0.000 0.000 2.455
0.000 0.000 0.000
2.654 2.654 2.455
```

Summary:
**DFT total energy**: -5.73 eV per atom
**V**: 138.4 Å³/cell

***

# 9
NaLa2In2: relaxed, GGA-PBEsol.

```
NaLa2In2
1.0
4.766 0.000 0.000
0.000 4.766 0.000
0.000 0.000 14.552
Na La In
2 4 4
Cartesian
0.000 0.000 0.000
2.383 2.383 7.276
0.000 2.383 3.638
0.000 2.383 10.914
2.383 0.000 3.638
2.383 0.000 10.914
0.000 0.000 5.907
0.000 0.000 8.645
2.383 2.383 1.369
2.383 2.383 13.183
```

Summary:
**Formation energy from the elements**: -0.1 eV per formula unit
**DFT total energy**: -3.62 eV per atom
**V**: 330.5 Å³/cell

***

# 10
Na2LaTaIn: relaxed, GGA-PBEsol.

```
Na2LaTaIn
1.0
5.393 0.000 0.000
0.000 5.393 0.000
0.000 0.000 5.371
Na La Ta In
2 1 1 1
Cartesian
0.000 2.697 0.000
2.697 0.000 0.000
0.000 0.000 2.686
2.697 2.697 0.000
2.697 2.697 2.686
```

Summary:
**Formation energy from the elements**: 5.7 eV per formula unit
**DFT total energy**: -3.60 eV per atom
**V**: 156.2 Å³/cell

***

# 11
LaNb2In2: relaxed, GGA-PBEsol.

```
LaNb2In2
1.0
4.112 0.000 0.000
0.000 4.112 0.000
0.000 0.000 13.784
La Nb In
2 4 4
Cartesian
0.000 0.000 0.000
2.056 2.056 6.892
0.000 2.056 3.446
0.000 2.056 10.338
2.056 0.000 3.446
2.056 0.000 10.338
0.000 0.000 5.462
0.000 0.000 8.322
2.056 2.056 1.430
2.056 2.056 12.354
```

Summary:
**Formation energy from the elements**: -0.3 eV per formula unit
**DFT total energy**: -6.65 eV per atom
**V**: 233.1 Å³/cell

***

# 12
LaInNi2: relaxed, GGA-PBEsol.

```
LaInNi2
1.0
5.191 0.000 0.000
0.000 4.055 0.000
0.000 0.000 7.085
La In Ni
2 2 4
Cartesian
1.298 0.000 1.618
3.894 0.000 5.466
1.298 2.028 5.958
3.894 2.028 1.127
0.000 2.028 3.542
1.298 0.000 4.298
2.596 2.028 3.542
3.894 0.000 2.787
```

Summary:
**Formation energy from the elements**: -1.7 eV per formula unit
**DFT total energy**: -5.59 eV per atom
**V**: 149.2 Å³/cell

***

# 13
La11In9Ni4: relaxed, GGA-PBEsol.

```
La11In9Ni4
1.0
7.430 -11.087 0.000
7.430 11.087 0.000
0.000 0.000 3.778
La In Ni
11 9 4
Cartesian
0.000 0.000 0.000
3.664 3.794 0.000
7.430 7.533 0.000
4.667 0.000 0.000
7.430 2.781 0.000
3.664 -3.794 0.000
11.197 3.794 0.000
7.430 -2.781 0.000
10.193 0.000 0.000
7.430 -7.533 0.000
11.197 -3.794 0.000
2.269 1.528 1.889
5.936 5.202 1.889
2.269 -1.528 1.889
8.924 5.202 1.889
7.430 0.000 1.889
5.936 -5.202 1.889
12.592 1.528 1.889
8.924 -5.202 1.889
12.592 -1.528 1.889
5.121 2.258 1.889
5.121 -2.258 1.889
9.739 2.258 1.889
9.739 -2.258 1.889
```

Summary:
**Formation energy from the elements**: -12.3 eV per formula unit
**DFT total energy**: -5.11 eV per atom
**V**: 622.5 Å³/cell

***

# 14
LaInNi2: relaxed, GGA-PBEsol.

```
LaInNi2
1.0
3.988 0.000 0.000
0.000 3.988 0.000
0.000 0.000 9.388
La In Ni
2 2 4
Cartesian
0.000 0.000 0.000
1.994 1.994 4.694
0.000 1.994 7.041
1.994 0.000 2.347
0.000 0.000 4.694
0.000 1.994 2.347
1.994 0.000 7.041
1.994 1.994 0.000
```

Summary:
**Formation energy from the elements**: 0.0 eV per formula unit
**DFT total energy**: -5.16 eV per atom
**V**: 149.3 Å³/cell

***

# 15
LaIn6Ni3: relaxed, GGA-PBEsol.

```
LaIn6Ni3
1.0
4.341 0.000 0.000
0.000 7.521 0.000
0.000 0.000 12.011
La In Ni
2 12 6
Cartesian
1.085 1.880 2.127
3.255 5.641 9.884
1.085 0.388 11.003
1.085 1.880 5.867
1.085 3.373 11.003
1.085 4.093 7.941
1.085 5.641 2.998
1.085 7.189 7.941
3.255 0.332 4.070
3.255 1.880 9.012
3.255 3.428 4.070
3.255 4.149 1.007
3.255 5.641 6.144
3.255 7.133 1.007
1.085 4.332 5.227
1.085 5.641 0.413
1.085 6.950 5.227
3.255 0.571 6.784
3.255 1.880 11.598
3.255 3.189 6.784
```

Summary:
**Formation energy from the elements**: -3.5 eV per formula unit
**DFT total energy**: -4.52 eV per atom
**V**: 392.1 Å³/cell

***

# 16
La2InNi2: relaxed, GGA-PBEsol.

```
La2InNi2
1.0
7.484 0.000 0.000
0.000 7.484 0.000
0.000 0.000 3.838
La In Ni
4 2 4
Cartesian
1.312 2.430 0.000
2.430 6.172 0.000
5.054 1.312 0.000
6.172 5.054 0.000
0.000 0.000 1.919
3.742 3.742 1.919
0.906 4.648 1.919
2.836 0.906 1.919
4.648 6.578 1.919
6.578 2.836 1.919
```

Summary:
**Formation energy from the elements**: -2.2 eV per formula unit
**DFT total energy**: -5.64 eV per atom
**V**: 214.9 Å³/cell

***

# 17
LaIn2Ni: relaxed, GGA-PBEsol.

```
LaIn2Ni
1.0
5.101 0.000 0.000
0.000 8.140 0.000
0.000 0.000 4.457
La In Ni
2 4 2
Cartesian
0.000 0.000 0.000
2.551 4.070 0.000
0.000 2.663 2.228
0.000 5.477 2.228
2.551 1.407 2.228
2.551 6.734 2.228
0.000 4.070 0.000
2.551 0.000 0.000
```

Summary:
**Formation energy from the elements**: -1.7 eV per formula unit
**DFT total energy**: -4.80 eV per atom
**V**: 185.1 Å³/cell

***

# 18
LaInNi2: relaxed, GGA-PBEsol.

```
LaInNi2
1.0
3.972 0.000 0.000
0.000 3.860 0.000
0.000 0.000 9.630
La In Ni
2 2 4
Cartesian
0.000 0.000 0.000
0.000 1.930 4.815
1.986 0.000 6.834
1.986 1.930 2.019
0.000 0.000 2.638
0.000 1.930 7.453
1.986 0.000 4.032
1.986 1.930 8.847
```

Summary:
**Formation energy from the elements**: -1.4 eV per formula unit
**DFT total energy**: -5.51 eV per atom
**V**: 147.7 Å³/cell

***

# 19
LaIn2Ni9: relaxed, GGA-PBEsol.

```
LaIn2Ni9
1.0
8.190 0.000 0.000
0.000 8.190 0.000
0.000 0.000 4.803
La In Ni
2 4 18
Cartesian
0.000 0.000 0.000
4.095 4.095 0.000
1.011 3.084 0.000
3.084 7.179 0.000
5.106 1.011 0.000
7.179 5.106 0.000
0.000 4.095 2.401
0.539 1.717 2.401
1.443 5.538 1.202
1.443 5.538 3.601
1.717 7.651 2.401
2.378 3.556 2.401
2.652 1.443 1.202
2.652 1.443 3.601
3.556 5.812 2.401
4.095 0.000 2.401
4.634 2.378 2.401
5.538 6.747 1.202
5.538 6.747 3.601
5.812 4.634 2.401
6.473 0.539 2.401
6.747 2.652 1.202
6.747 2.652 3.601
7.651 6.473 2.401
```

Summary:
**Formation energy from the elements**: -2.6 eV per formula unit
**DFT total energy**: -5.78 eV per atom
**V**: 322.1 Å³/cell

***

# 20
La5In11Ni6: relaxed, GGA-PBEsol.

```
La5In11Ni6
1.0
7.273 -7.276 0.000
7.273 7.276 0.000
0.000 0.000 4.415
La In Ni
5 11 6
Cartesian
0.000 0.000 0.000
5.264 2.532 2.208
9.283 2.532 2.208
5.264 -2.532 2.208
9.283 -2.532 2.208
2.782 2.251 0.000
2.805 0.000 2.208
7.273 3.986 0.000
4.909 0.000 0.000
2.782 -2.251 0.000
7.273 0.000 2.208
11.764 2.251 0.000
9.637 0.000 0.000
7.273 -3.986 0.000
11.741 0.000 2.208
11.764 -2.251 0.000
6.059 5.225 2.208
8.487 5.225 2.208
7.273 1.326 0.000
7.273 -1.326 0.000
6.059 -5.225 2.208
8.487 -5.225 2.208
```

Summary:
**Formation energy from the elements**: -10.5 eV per formula unit
**DFT total energy**: -4.86 eV per atom
**V**: 467.3 Å³/cell